No. 1
The following is a DFT calculation (PBE) of a geometry-optimized RbPrZnS3 structure.

Values from the calculation:
Symmetry: Pnma (62)
E_tot, eV per cell: -112.25

abc: 14.9912 4.1312 11.1778
angles: 90.00 90.00 90.00
Last column: nearest neighbours and their distance in Å.
Fractional positions:
1 Rb 0.7330 0.2500 0.9662  6 S 3.33-3.53
2 Rb 0.2330 0.2500 0.5338  6 S 3.33-3.53
3 Rb 0.7670 0.7500 0.4662  6 S 3.33-3.53
4 Rb 0.2670 0.7500 0.0338  6 S 3.33-3.53
5 S 0.0725 0.7500 0.3956  3 Zn 2.41-2.46
6 S 0.5951 0.2500 0.4270  3 Pr 2.80-2.85
7 S 0.9275 0.2500 0.6044  3 Zn 2.41-2.46
8 S 0.4275 0.2500 0.8956  3 Zn 2.41-2.46
9 S 0.8723 0.2500 0.2598  1 Zn 2.31
10 S 0.0951 0.2500 0.0730  3 Pr 2.80-2.85
11 S 0.6277 0.7500 0.7598  1 Zn 2.31
12 S 0.3723 0.2500 0.2402  1 Zn 2.31
13 S 0.5725 0.7500 0.1044  3 Zn 2.41-2.46
14 S 0.4049 0.7500 0.5730  3 Pr 2.80-2.85
15 S 0.1277 0.7500 0.7402  1 Zn 2.31
16 S 0.9049 0.7500 0.9270  3 Pr 2.80-2.85
17 Pr 0.5199 0.2500 0.6558  6 S 2.80-3.02
18 Pr 0.4801 0.7500 0.3442  6 S 2.80-3.02
19 Pr 0.0199 0.2500 0.8442  6 S 2.80-3.02
20 Pr 0.9801 0.7500 0.1558  6 S 2.80-3.02
21 Zn 0.4835 0.2500 0.0972  4 S 2.31-2.46
22 Zn 0.5165 0.7500 0.9028  4 S 2.31-2.46
23 Zn 0.9835 0.2500 0.4028  4 S 2.31-2.46
24 Zn 0.0165 0.7500 0.5972  4 S 2.31-2.46

No. 2
The following is a DFT calculation (PBE) of a geometry-optimized RbPrZnS3 structure.

Values from the calculation:
Symmetry: Pnma (62)
E_tot, eV per cell: -112.26

abc: 11.4133 4.2549 12.3714
angles: 90.00 90.00 90.00
Last column: nearest neighbours and their distance in Å.
Fractional positions:
1 S 0.5549 0.5000 0.8211  1 Zn 2.32
2 S 0.4451 0.0000 0.1789  1 Zn 2.32
3 S 0.2127 0.5000 0.2936  2 Zn 2.42
4 S 0.3910 0.5000 0.5595  1 Zn 2.36
5 S 0.0549 0.5000 0.6789  1 Zn 2.32
6 S 0.7127 0.5000 0.2064  2 Zn 2.42
7 S 0.9451 0.0000 0.3211  1 Zn 2.32
8 S 0.6090 0.0000 0.4405  1 Zn 2.36
9 S 0.8910 0.5000 0.9405  1 Zn 2.36
10 S 0.2873 0.0000 0.7936  2 Zn 2.42
11 S 0.7873 0.0000 0.7064  2 Zn 2.42
12 S 0.1090 0.0000 0.0595  1 Zn 2.36
13 Pr 0.4775 0.5000 0.3311  7 S 2.87-3.10
14 Pr 0.0225 0.0000 0.8311  7 S 2.87-3.10
15 Pr 0.9775 0.5000 0.1689  7 S 2.87-3.10
16 Pr 0.5225 0.0000 0.6689  7 S 2.87-3.10
17 Rb 0.1648 0.0000 0.4941  7 S 3.30-3.44, 2 Zn 3.52
18 Rb 0.8352 0.5000 0.5059  7 S 3.30-3.44, 2 Zn 3.52
19 Rb 0.6648 0.0000 0.0059  7 S 3.30-3.44, 2 Zn 3.52
20 Rb 0.3352 0.5000 0.9941  7 S 3.30-3.44, 2 Zn 3.52
21 Zn 0.2560 0.5000 0.7043  4 S 2.32-2.42
22 Zn 0.7560 0.5000 0.7957  4 S 2.32-2.42
23 Zn 0.7440 0.0000 0.2957  4 S 2.32-2.42
24 Zn 0.2440 0.0000 0.2043  4 S 2.32-2.42

No. 3
The following is a DFT calculation (PBE) of a geometry-optimized RbPrZnS3 structure.

Values from the calculation:
Symmetry: Pnma (62)
E_tot, eV per cell: -111.27

abc: 10.2785 4.1253 15.2122
angles: 90.00 90.00 90.00
Last column: nearest neighbours and their distance in Å.
Fractional positions:
1 S 0.6861 0.0000 0.4781  1 Zn 2.33
2 S 0.2203 0.5000 0.7757  1 Zn 2.25
3 S 0.2775 0.0000 0.2758  1 Zn 2.25
4 S 0.7203 0.5000 0.7227  1 Zn 2.25
5 S 0.5235 0.0000 0.8944  2 Zn 2.53
6 S 0.9742 0.5000 0.3944  2 Zn 2.53
7 S 0.8115 0.5000 0.9782  1 Zn 2.33
8 S 0.3117 0.5000 0.5203  1 Zn 2.33
9 S 0.0236 0.0000 0.6041  2 Zn 2.53
10 S 0.1862 0.0000 0.0203  1 Zn 2.33
11 S 0.4742 0.5000 0.1041  2 Zn 2.53
12 S 0.7775 0.0000 0.2227  1 Zn 2.25
13 Pr 0.1715 0.0000 0.4363  6 S 2.67-2.97
14 Pr 0.3263 0.5000 0.9364  6 S 2.68-2.97
15 Pr 0.8263 0.5000 0.5622  6 S 2.67-2.97
16 Pr 0.6714 0.0000 0.0621  6 S 2.68-2.97
17 Zn 0.8384 0.0000 0.3649  2 S 2.25-2.33
18 Zn 0.6595 0.5000 0.8649  2 S 2.25-2.33
19 Zn 0.3383 0.0000 0.1335  2 S 2.25-2.33
20 Zn 0.1595 0.5000 0.6335  2 S 2.25-2.33
21 Rb 0.4647 0.0000 0.6737  8 S 3.41-3.75, 2 Zn 3.80
22 Rb 0.0330 0.5000 0.1737  8 S 3.41-3.74, 2 Zn 3.80
23 Rb 0.9648 0.0000 0.8249  8 S 3.41-3.74, 2 Zn 3.80
24 Rb 0.5330 0.5000 0.3249  8 S 3.41-3.74, 2 Zn 3.80

No. 4
The following is a DFT calculation (PBE) of a geometry-optimized RbPrZnS3 structure.

Values from the calculation:
Symmetry: Pnma (62)
E_tot, eV per cell: -112.82

abc: 11.0403 4.1339 14.5819
angles: 90.00 90.00 90.00
Last column: nearest neighbours and their distance in Å.
Fractional positions:
1 Zn 0.2339 0.7500 0.7887  4 S 2.32-2.49
2 Zn 0.7339 0.7500 0.7113  4 S 2.32-2.49
3 Zn 0.7662 0.2500 0.2113  4 S 2.32-2.49
4 Zn 0.2662 0.2500 0.2887  4 S 2.32-2.49
5 Pr 0.0137 0.7500 0.2628  6 S 2.85-2.90
6 Pr 0.5137 0.7500 0.2372  6 S 2.85-2.90
7 Pr 0.4863 0.2500 0.7628  6 S 2.85-2.90
8 Pr 0.9863 0.2500 0.7372  6 S 2.85-2.90
9 Rb 0.7822 0.7500 0.9916  7 S 3.43-3.48, 2 Zn 3.82
10 Rb 0.2178 0.2500 0.0084  7 S 3.43-3.48, 2 Zn 3.82
11 Rb 0.7178 0.2500 0.4916  7 S 3.43-3.48, 2 Zn 3.82
12 Rb 0.2822 0.7500 0.5084  7 S 3.43-3.48, 2 Zn 3.82
13 S 0.0491 0.7500 0.8648  1 Zn 2.32
14 S 0.2399 0.2500 0.6931  2 Zn 2.49
15 S 0.4509 0.2500 0.3648  1 Zn 2.32
16 S 0.0955 0.2500 0.3818  1 Zn 2.32
17 S 0.2601 0.7500 0.1931  2 Zn 2.49
18 S 0.7601 0.7500 0.3069  2 Zn 2.49
19 S 0.7399 0.2500 0.8069  2 Zn 2.49
20 S 0.4045 0.7500 0.8818  1 Zn 2.32
21 S 0.5491 0.7500 0.6352  1 Zn 2.32
22 S 0.9045 0.7500 0.6182  1 Zn 2.32
23 S 0.5955 0.2500 0.1182  1 Zn 2.32
24 S 0.9509 0.2500 0.1352  1 Zn 2.32

No. 5
The following is a DFT calculation (PBE) of a geometry-optimized RbPrZnS3 structure.

Values from the calculation:
Symmetry: P2_1/m (11)
E_tot, eV per cell: -56.07

abc: 8.5849 4.1285 10.4002
angles: 90.00 108.38 90.00
Last column: nearest neighbours and their distance in Å.
Fractional positions:
1 Zn 0.4237 0.7500 0.3938  4 S 2.30-2.45
2 Zn 0.5763 0.2500 0.6062  4 S 2.30-2.45
3 S 0.5713 0.2500 0.8263  1 Zn 2.30
4 S 0.4287 0.7500 0.1737  1 Zn 2.30
5 S 0.9632 0.7500 0.1449  3 Pr 2.79-2.86
6 S 0.3011 0.2500 0.4460  3 Zn 2.42-2.45
7 S 0.0368 0.2500 0.8551  3 Pr 2.79-2.86
8 S 0.6989 0.7500 0.5540  3 Zn 2.42-2.45
9 Rb 0.7576 0.2500 0.2862  6 S 3.34-3.63
10 Rb 0.2424 0.7500 0.7138  6 S 3.34-3.63
11 Pr 0.8107 0.7500 0.8645  6 S 2.79-3.07
12 Pr 0.1893 0.2500 0.1355  6 S 2.79-3.07

No. 6
The following is a DFT calculation (PBE) of a geometry-optimized RbPrSb structure.

Values from the calculation:
Symmetry: F-43m (216)
E_tot, eV per cell: -10.01

abc: 5.4880 5.4880 5.4880
angles: 60.00 60.00 60.00
Last column: nearest neighbours and their distance in Å.
Fractional positions:
1 Pr 0.0000 0.0000 0.0000  4 Sb 3.36, 4 Rb 3.36
2 Sb 0.7500 0.7500 0.7500  4 Pr 3.36
3 Rb 0.2500 0.2500 0.2500  4 Pr 3.36

No. 7
The following is a DFT calculation (PBE) of a geometry-optimized RbPrSbTe3 structure.

Values from the calculation:
Symmetry: Cmcm (63)
E_tot, eV per cell: -47.66

abc: 9.2607 9.2607 11.2539
angles: 90.00 90.00 150.62
Last column: nearest neighbours and their distance in Å.
Fractional positions:
1 Te 0.1238 0.8762 0.9599  1 Sb 2.93, 2 Pr 3.26
2 Te 0.8762 0.1238 0.4599  1 Sb 2.93, 2 Pr 3.26
3 Te 0.8762 0.1238 0.0401  1 Sb 2.93, 2 Pr 3.26
4 Te 0.1238 0.8762 0.5401  1 Sb 2.93, 2 Pr 3.26
5 Te 0.3973 0.6027 0.7500  2 Sb 3.31, 2 Pr 3.36
6 Te 0.6027 0.3973 0.2500  2 Sb 3.31, 2 Pr 3.36
7 Pr 0.5000 0.5000 0.5000  6 Te 3.26-3.36
8 Pr 0.5000 0.5000 0.0000  6 Te 3.26-3.36
9 Sb 0.9728 0.0272 0.2500  2 Te 2.93
10 Sb 0.0272 0.9728 0.7500  2 Te 2.93
11 Rb 0.2657 0.7343 0.2500  8 Te 3.75-4.14
12 Rb 0.7343 0.2657 0.7500  8 Te 3.75-4.14

No. 8
The following is a DFT calculation (PBE) of a geometry-optimized RbPrSc structure.

Values from the calculation:
Symmetry: F-43m (216)
E_tot, eV per cell: -8.55

abc: 5.8840 5.8840 5.8840
angles: 60.00 60.00 60.00
Last column: nearest neighbours and their distance in Å.
Fractional positions:
1 Rb 0.7500 0.7500 0.7500  4 Sc 3.60
2 Pr 0.2500 0.2500 0.2500  4 Sc 3.60
3 Sc 0.0000 0.0000 0.0000  4 Pr 3.60, 4 Rb 3.60

No. 9
The following is a DFT calculation (PBE) of a geometry-optimized RbPrSmSe3 structure.

Values from the calculation:
Symmetry: Cmcm (63)
E_tot, eV per cell: -59.89

abc: 8.3559 8.3559 10.5382
angles: 90.00 90.00 145.36
Last column: nearest neighbours and their distance in Å.
Fractional positions:
1 Pr 0.0071 0.9929 0.7500  4 Se 2.83-2.93
2 Pr 0.9929 0.0071 0.2500  4 Se 2.83-2.93
3 Se 0.5921 0.4079 0.7500  2 Pr 2.83, 2 Sm 3.02
4 Se 0.8882 0.1118 0.9619  1 Pr 2.93, 2 Sm 3.09
5 Se 0.1118 0.8882 0.0381  1 Pr 2.93, 2 Sm 3.09
6 Se 0.4079 0.5921 0.2500  2 Pr 2.83, 2 Sm 3.02
7 Se 0.8882 0.1118 0.5381  1 Pr 2.93, 2 Sm 3.09
8 Se 0.1118 0.8882 0.4619  1 Pr 2.93, 2 Sm 3.09
9 Rb 0.7367 0.2633 0.2500  8 Se 3.69-3.89, 1 Pr 4.09
10 Rb 0.2633 0.7367 0.7500  8 Se 3.69-3.89, 1 Pr 4.09
11 Sm 0.5000 0.5000 0.5000  6 Se 3.02-3.09
12 Sm 0.5000 0.5000 0.0000  6 Se 3.02-3.09

No. 10
The following is a DFT calculation (PBE) of a geometry-optimized RbPrTeSe structure.

Values from the calculation:
Symmetry: R3m (160)
E_tot, eV per cell: -18.62

abc: 8.7152 8.7152 8.7152
angles: 30.13 30.13 30.13
Last column: nearest neighbours and their distance in Å.
Fractional positions:
1 Pr 0.5057 0.5057 0.5057  3 Se 3.03, 3 Te 3.21
2 Se 0.2338 0.2338 0.2338  3 Pr 3.03
3 Te 0.7641 0.7641 0.7641  3 Pr 3.21
4 Rb 0.9964 0.9964 0.9964  3 Se 3.54, 3 Te 3.63

No. 11
The following is a DFT calculation (PBE) of a geometry-optimized RbPrSi structure.

Values from the calculation:
Symmetry: F-43m (216)
E_tot, eV per cell: -10.49

abc: 5.3571 5.3571 5.3571
angles: 60.00 60.00 60.00
Last column: nearest neighbours and their distance in Å.
Fractional positions:
1 Si 0.0000 0.0000 0.0000  4 Rb 3.28, 4 Pr 3.28
2 Rb 0.7500 0.7500 0.7500  4 Si 3.28
3 Pr 0.2500 0.2500 0.2500  4 Si 3.28

No. 12
The following is a DFT calculation (PBE) of a geometry-optimized RbPrSiTe3 structure.

Values from the calculation:
Symmetry: Cmcm (63)
E_tot, eV per cell: -50.43

abc: 8.1108 8.1108 12.3374
angles: 90.00 90.00 144.67
Last column: nearest neighbours and their distance in Å.
Fractional positions:
1 Pr 0.5000 0.5000 0.0000  6 Te 3.20-3.27
2 Pr 0.5000 0.5000 0.5000  6 Te 3.20-3.27
3 Te 0.8711 0.1289 0.4352  1 Si 2.75
4 Te 0.8711 0.1289 0.0648  1 Si 2.75
5 Te 0.1289 0.8711 0.9352  1 Si 2.75
6 Te 0.4447 0.5553 0.7500  2 Si 2.80
7 Te 0.1289 0.8711 0.5648  1 Si 2.75
8 Te 0.5553 0.4447 0.2500  2 Si 2.80
9 Si 0.0305 0.9695 0.7500  4 Te 2.75-2.80
10 Si 0.9695 0.0305 0.2500  4 Te 2.75-2.80
11 Rb 0.2475 0.7525 0.2500  8 Te 3.86-4.29, 3 Si 4.22-4.30
12 Rb 0.7525 0.2475 0.7500  8 Te 3.86-4.29, 3 Si 4.22-4.30